[1]
Density functional theory data (GGA-PBE) for crystalline Zr5Be2Ge5 at its relaxed geometry.

Unit cell a=13.627 b=3.780 c=10.328 alpha=90.00 beta=128.00 gamma=90.00
Space group C2/m (No. 12)
Unique sites:
Zr 0.000 0.000 0.000 x2
Zr 0.113 0.000 0.433 x4
Zr 0.213 0.000 0.850 x4
Be 0.142 0.500 0.259 x4
Ge 0.000 0.500 0.500 x2
Ge 0.055 0.500 0.835 x4
Ge 0.245 0.000 0.305 x4

Calculated values
V: 419.1 Å³/cell
Spin magnetization: 0.00 μB/f.u.
Uncorrected energy: -6.775 eV per atom


[2]
Density functional theory data (GGA-PBE) for crystalline ZrBeGe at its relaxed geometry.

Unit cell a=3.715 b=3.715 c=7.519 alpha=90.00 beta=90.00 gamma=90.00
Space group I4mm (No. 107)
Unique sites:
Zr 0.000 0.000 0.000 x2
Be 0.000 0.000 0.643 x2
Ge 0.000 0.000 0.351 x2

Calculated values
V: 103.8 Å³/cell
Spin magnetization: 0.00 μB/f.u.
Uncorrected energy: -5.569 eV per atom


[3]
Density functional theory data (GGA-PBE) for crystalline Zr3BeGe at its relaxed geometry.

Unit cell a=4.669 b=4.669 c=4.669 alpha=90.00 beta=90.00 gamma=90.00
Space group Pm-3m (No. 221)
Unique sites:
Zr 0.000 0.000 0.500 x3
Be 0.000 0.000 0.000 x1
Ge 0.500 0.500 0.500 x1

Calculated values
V: 101.8 Å³/cell
Spin magnetization: 0.00 μB/f.u.
Relative energy among the computed polymorphs: 0.00 eV/f.u.


[4]
Density functional theory data (GGA-PBE) for crystalline Zr3Be4Ge2 at its relaxed geometry.

Unit cell a=9.744 b=3.750 c=7.447 alpha=90.00 beta=102.96 gamma=90.00
Space group C2/m (No. 12)
Unique sites:
Zr 0.000 0.000 0.000 x2
Zr 0.164 0.500 0.671 x4
Be 0.050 0.000 0.393 x4
Be 0.230 0.500 0.052 x4
Ge 0.115 0.500 0.278 x4

Calculated values
V: 265.2 Å³/cell
Spin magnetization: 0.00 μB/f.u.
Uncorrected energy: -6.060 eV per atom


[5]
Density functional theory data (GGA-PBE) for crystalline Zr2Be2Ge at its relaxed geometry.

Unit cell a=6.271 b=6.271 c=3.909 alpha=90.00 beta=90.00 gamma=90.00
Space group P4/mbm (No. 127)
Unique sites:
Zr 0.173 0.327 0.000 x4
Be 0.119 0.619 0.500 x4
Ge 0.000 0.000 0.500 x2

Calculated values
V: 153.7 Å³/cell
Spin magnetization: 0.00 μB/f.u.
Uncorrected energy: -6.234 eV per atom


[6]
Density functional theory data (GGA-PBE) for crystalline ZrBeGe at its relaxed geometry.

Unit cell a=9.839 b=3.787 c=6.441 alpha=90.00 beta=130.52 gamma=90.00
Space group C2/m (No. 12)
Unique sites:
Zr 0.064 0.000 0.318 x4
Be 0.143 0.500 0.098 x4
Ge 0.183 0.500 0.743 x4

Calculated values
V: 182.4 Å³/cell
Spin magnetization: 0.00 μB/f.u.
Uncorrected energy: -6.179 eV per atom


[7]
Density functional theory data (GGA-PBE) for crystalline ZrBe2Ge2 at its relaxed geometry.

Unit cell a=3.739 b=3.739 c=10.497 alpha=90.00 beta=90.00 gamma=90.00
Space group I4/mmm (No. 139)
Unique sites:
Zr 0.000 0.000 0.000 x2
Be 0.000 0.500 0.250 x4
Ge 0.000 0.000 0.380 x4

Calculated values
V: 146.7 Å³/cell
Spin magnetization: 0.00 μB/f.u.
Uncorrected energy: -5.148 eV per atom


[8]
Density functional theory data (GGA-PBE) for crystalline BeH3 at its relaxed geometry.

Unit cell a=1.890 b=7.366 c=4.114 alpha=90.00 beta=90.00 gamma=90.00
Space group Imm2 (No. 44)
Unique sites:
Be 0.000 0.000 0.000 x2
H 0.000 0.362 0.348 x4
H 0.000 0.500 0.789 x2

Calculated values
V: 57.3 Å³/cell
Spin magnetization: 0.00 μB/f.u.
Relative energy among the computed polymorphs: 0.00 eV/f.u.


[9]
Density functional theory data (GGA-PBE) for crystalline BeH3 at its relaxed geometry.

Unit cell a=1.921 b=2.359 c=5.951 alpha=90.00 beta=90.00 gamma=90.00
Space group Pmm2 (No. 25)
Unique sites:
Be 0.000 0.000 0.000 x1
H 0.000 0.500 0.465 x1
H 0.500 0.000 0.819 x1
H 0.500 0.500 0.128 x1

Calculated values
V: 27.0 Å³/cell
Spin magnetization: 0.00 μB/f.u.
Relative energy among the computed polymorphs: 1.57 eV/f.u.


[10]
Density functional theory data (GGA-PBE) for crystalline BeH2 at its relaxed geometry.

Unit cell a=2.3120 b=2.3120 c=4.1741 alpha=90.00 beta=90.00 gamma=120.00
Space group P-3m1 (No. 164)
Unique sites:
Be 0.0000 0.0000 0.0000 x1
H 0.3333 0.6667 0.7905 x2

Calculated values
V: 19.3 Å³/cell
Spin magnetization: 0.00 μB/f.u.
Relative energy among the computed polymorphs: 0.29 eV/f.u.


[11]
Density functional theory data (GGA-PBE) for crystalline Be4H at its relaxed geometry.

Unit cell a=3.311 b=3.311 c=3.311 alpha=90.00 beta=90.00 gamma=90.00
Space group Pm-3m (No. 221)
Unique sites:
Be 0.000 0.000 0.000 x1
Be 0.000 0.500 0.500 x3
H 0.500 0.500 0.500 x1

Calculated values
V: 36.3 Å³/cell
Spin magnetization: 0.00 μB/f.u.
Uncorrected energy: -3.258 eV per atom


[12]
Density functional theory data (GGA-PBE) for crystalline BeH2 at its relaxed geometry.

Unit cell a=5.848 b=7.336 c=3.904 alpha=90.00 beta=131.64 gamma=90.00
Space group C2/c (No. 15)
Unique sites:
Be 0.000 0.000 0.250 x4
H 0.176 0.105 0.175 x8

Calculated values
V: 125.2 Å³/cell
Spin magnetization: 0.00 μB/f.u.
Relative energy among the computed polymorphs: 0.10 eV/f.u.


[13]
Density functional theory data (GGA-PBE) for crystalline BeH2 at its relaxed geometry.

Unit cell a=3.813 b=3.813 c=2.299 alpha=90.00 beta=90.00 gamma=90.00
Space group P4_2/mnm (No. 136)
Unique sites:
Be 0.000 0.000 0.000 x2
H 0.197 0.197 0.500 x4

Calculated values
V: 33.4 Å³/cell
Spin magnetization: 0.00 μB/f.u.
Relative energy among the computed polymorphs: 0.44 eV/f.u.


[14]
Density functional theory data (GGA-PBE) for crystalline BeH2 at its relaxed geometry.

Unit cell a=5.596 b=5.596 c=5.596 alpha=90.00 beta=90.00 gamma=90.00
Space group Fm-3m (No. 225)
Unique sites:
Be 0.000 0.000 0.000 x4
Be 0.250 0.250 0.250 x8
H 0.000 0.000 0.271 x24

Calculated values
V: 175.2 Å³/cell
Spin magnetization: 0.00 μB/f.u.
Relative energy among the computed polymorphs: 1.92 eV/f.u.


[15]
Density functional theory data (GGA-PBE) for crystalline BeH2 at its relaxed geometry.

Unit cell a=2.391 b=4.160 c=5.114 alpha=88.33 beta=77.34 gamma=89.90
Space group P-1 (No. 2)
Unique sites:
Be 0.077 0.138 0.334 x2
H 0.056 0.790 0.382 x2
H 0.356 0.753 0.809 x2

Calculated values
V: 49.6 Å³/cell
Spin magnetization: 0.00 μB/f.u.
Relative energy among the computed polymorphs: 0.16 eV/f.u.


[16]
Density functional theory data (GGA-PBE) for crystalline BeH2 at its relaxed geometry.

Unit cell a=6.810 b=4.165 c=4.508 alpha=90.00 beta=119.30 gamma=90.00
Space group C2 (No. 5)
Unique sites:
Be 0.144 0.000 0.499 x4
H 0.088 0.951 0.773 x4
H 0.174 0.338 0.492 x4

Calculated values
V: 111.5 Å³/cell
Spin magnetization: 0.00 μB/f.u.
Relative energy among the computed polymorphs: 0.10 eV/f.u.


[17]
Density functional theory data (GGA-PBE) for crystalline BeH5 at its relaxed geometry.

Unit cell a=1.996 b=13.774 c=3.020 alpha=90.00 beta=90.00 gamma=90.00
Space group Cmmm (No. 65)
Unique sites:
Be 0.000 0.000 0.000 x2
H 0.000 0.250 0.500 x4
H 0.000 0.418 0.000 x4
H 0.000 0.500 0.500 x2

Calculated values
V: 83.0 Å³/cell
Spin magnetization: 0.00 μB/f.u.
Uncorrected energy: -3.004 eV per atom


[18]
Density functional theory data (GGA-PBE) for crystalline BeH2 at its relaxed geometry.

Unit cell a=3.956 b=3.956 c=5.996 alpha=90.00 beta=90.00 gamma=90.00
Space group I-42d (No. 122)
Unique sites:
Be 0.000 0.000 0.000 x4
H 0.178 0.250 0.125 x8

Calculated values
V: 93.8 Å³/cell
Spin magnetization: 0.00 μB/f.u.
Relative energy among the computed polymorphs: 0.01 eV/f.u.


[19]
Density functional theory data (GGA-PBE) for crystalline Be8H at its relaxed geometry.

Unit cell a=4.6633 b=4.6633 c=3.5698 alpha=90.00 beta=90.00 gamma=120.00
Space group P-3m1 (No. 164)
Unique sites:
Be 0.1724 0.3448 0.2433 x6
Be 0.3333 0.6667 0.7394 x2
H 0.0000 0.0000 0.5000 x1

Calculated values
V: 67.2 Å³/cell
Spin magnetization: 0.00 μB/f.u.
Relative energy among the computed polymorphs: 0.72 eV/f.u.


[20]
Density functional theory data (GGA-PBE) for crystalline BeH2 at its relaxed geometry.

Unit cell a=9.967 b=2.396 c=4.309 alpha=90.00 beta=97.41 gamma=90.00
Space group C2/m (No. 12)
Unique sites:
Be 0.079 0.000 0.382 x4
H 0.066 0.000 0.717 x4
H 0.147 0.500 0.286 x4

Calculated values
V: 102.0 Å³/cell
Spin magnetization: 0.00 μB/f.u.
Relative energy among the computed polymorphs: 0.16 eV/f.u.